VASP calculation (meta-GGA SCAN) on a crystal of KYTa2Br relaxed with PBEsol.

Lattice parameters (Å, degrees): 4.962 4.962 7.129 90.00 90.00 90.00
Sites, in units of the cell vectors:
K 0.000 0.000 0.000
Y 0.000 0.000 0.500
Ta 0.000 0.500 0.500
Ta 0.500 0.000 0.500
Br 0.500 0.500 0.000

Calculated values
Symmetry   No. 123
Energy relative to the elements, uncorrected   9.4 eV per formula unit
Crystal system   tetragonal
DOS(E_F)   1.32 states/eV per atom

***

VASP calculation (meta-GGA SCAN) on a crystal of YHfFe3 relaxed with PBEsol.

Lattice parameters (Å, degrees): 4.563 4.563 4.563 90.00 90.00 90.00
Sites, in units of the cell vectors:
Y 0.000 0.000 0.000
Hf 0.500 0.500 0.500
Fe 0.000 0.500 0.500
Fe 0.500 0.000 0.500
Fe 0.500 0.500 0.000

Calculated values
Symmetry   No. 221
Crystal system   cubic
Formation energy from the elements   893 meV per atom
DOS(E_F)   1.42 states/eV per atom

***

VASP calculation (meta-GGA SCAN) on a crystal of Tl4SiCl relaxed with PBEsol.

Lattice parameters (Å, degrees): 6.169 6.169 6.169 60.00 60.00 60.00
Sites, in units of the cell vectors:
Tl 0.125 0.125 0.125
Tl 0.125 0.125 0.625
Tl 0.125 0.625 0.125
Tl 0.625 0.125 0.125
Si 0.750 0.750 0.750
Cl 0.500 0.500 0.500

Calculated values
Symmetry   No. 216
Energy relative to the elements, uncorrected   1.8 eV per formula unit
Crystal system   cubic
DOS(E_F)   0.51 states/eV per atom

***

VASP calculation (meta-GGA SCAN) on a crystal of BeZnAg relaxed with PBEsol.

Lattice parameters (Å, degrees): 5.227 5.227 5.227 148.75 148.75 44.78
Sites, in units of the cell vectors:
Be 0.000 0.000 0.000
Zn 0.355 0.355 0.000
Ag 0.657 0.657 0.000

Calculated values
Energy above the lowest structure with this stoichiometry   0 kJ/mol of formula units
Symmetry   No. 107
Crystal system   tetragonal
Formation energy from the elements   45 meV per atom
DOS(E_F)   0.17 states/eV per atom

***

VASP calculation (meta-GGA SCAN) on a crystal of KCd3 relaxed with PBEsol.

Lattice parameters (Å, degrees): 3.621 3.621 8.313 90.00 90.00 90.00
Sites, in units of the cell vectors:
K 0.000 0.000 0.000
Cd 0.000 0.000 0.500
Cd 0.500 0.500 0.304
Cd 0.500 0.500 0.696

Calculated values
Symmetry   No. 123
Crystal system   tetragonal
Formation energy from the elements   0 meV per atom
DOS(E_F)   0.44 states/eV per atom

***

VASP calculation (meta-GGA SCAN) on a crystal of Tc relaxed with PBEsol.

Lattice parameters (Å, degrees): 4.268 4.268 2.683 90.00 90.00 120.00
Sites, in units of the cell vectors:
Tc 0.000 0.000 0.000
Tc 0.333 0.667 0.500
Tc 0.667 0.333 0.500

Calculated values
Energy above the lowest structure with this stoichiometry   7 kJ/mol of formula units
Symmetry   No. 191
Crystal system   hexagonal
Formation energy from the elements   70 meV per atom
DOS(E_F)   0.84 states/eV per atom

***

VASP calculation (meta-GGA SCAN) on a crystal of Ta2TcIrS relaxed with PBEsol.

Lattice parameters (Å, degrees): 4.805 4.805 4.637 90.00 90.00 90.00
Sites, in units of the cell vectors:
Ta 0.000 0.500 0.000
Ta 0.500 0.000 0.000
Tc 0.000 0.000 0.500
Ir 0.000 0.000 0.000
S 0.500 0.500 0.500

Calculated values
Symmetry   No. 123
Energy relative to the elements, uncorrected   6.8 eV per formula unit
Crystal system   tetragonal
DOS(E_F)   0.84 states/eV per atom

***

VASP calculation (meta-GGA SCAN) on a crystal of AlCuAs2 relaxed with PBEsol.

Lattice parameters (Å, degrees): 2.901 3.661 6.597 90.00 90.00 90.00
Sites, in units of the cell vectors:
Al 0.000 0.000 0.000
Cu 0.500 0.500 0.787
As 0.000 0.000 0.615
As 0.500 0.500 0.186

Calculated values
Symmetry   No. 25
Crystal system   orthorhombic
Formation energy from the elements   -15 meV per atom
DOS(E_F)   0.22 states/eV per atom

***

VASP calculation (meta-GGA SCAN) on a crystal of TeRhCl2 relaxed with PBEsol.

Lattice parameters (Å, degrees): 3.244 3.244 7.783 90.00 90.00 90.00
Sites, in units of the cell vectors:
Te 0.000 0.000 0.000
Rh 0.500 0.500 0.180
Cl 0.000 0.000 0.379
Cl 0.500 0.500 0.742

Calculated values
Energy above the lowest structure with this stoichiometry   0 kJ/mol of formula units
Symmetry   No. 99
Energy relative to the elements, uncorrected   -0.7 eV per formula unit
Crystal system   tetragonal
DOS(E_F)   0.51 states/eV per atom

***

VASP calculation (meta-GGA SCAN) on a crystal of RbSnSe3 relaxed with PBEsol.

Lattice parameters (Å, degrees): 5.493 5.493 5.493 90.00 90.00 90.00
Sites, in units of the cell vectors:
Rb 0.000 0.000 0.000
Sn 0.500 0.500 0.500
Se 0.000 0.000 0.500
Se 0.000 0.500 0.000
Se 0.500 0.000 0.000

Calculated values
Symmetry   No. 221
Energy relative to the elements, uncorrected   4.7 eV per formula unit
Crystal system   cubic
DOS(E_F)   1.01 states/eV per atom

***

VASP calculation (meta-GGA SCAN) on a crystal of PaNi4Sn6 relaxed with PBEsol.

Lattice parameters (Å, degrees): 6.629 6.629 6.629 119.56 119.56 90.77
Sites, in units of the cell vectors:
Pa 0.000 0.000 0.000
Ni 0.263 0.263 0.669
Ni 0.407 0.737 0.000
Ni 0.593 0.593 0.331
Ni 0.737 0.407 0.000
Sn 0.000 0.500 0.500
Sn 0.107 0.472 0.000
Sn 0.472 0.107 0.000
Sn 0.500 0.000 0.500
Sn 0.528 0.528 0.635
Sn 0.893 0.893 0.365

Calculated values
Symmetry   No. 121
Crystal system   tetragonal
Formation energy from the elements   -118 meV per atom
DOS(E_F)   0.80 states/eV per atom

***

VASP calculation (meta-GGA SCAN) on a crystal of CdFeHg2 relaxed with PBEsol.

Lattice parameters (Å, degrees): 5.269 5.269 5.269 134.52 134.52 66.28
Sites, in units of the cell vectors:
Cd 0.000 0.000 0.000
Fe 0.750 0.250 0.500
Hg 0.250 0.750 0.500
Hg 0.500 0.500 0.000

Calculated values
Symmetry   No. 119
Crystal system   tetragonal
Formation energy from the elements   328 meV per atom
DOS(E_F)   0.41 states/eV per atom

***

Copy entry 2 word for word.
VASP calculation (meta-GGA SCAN) on a crystal of YHfFe3 relaxed with PBEsol.

Lattice parameters (Å, degrees): 4.563 4.563 4.563 90.00 90.00 90.00
Sites, in units of the cell vectors:
Y 0.000 0.000 0.000
Hf 0.500 0.500 0.500
Fe 0.000 0.500 0.500
Fe 0.500 0.000 0.500
Fe 0.500 0.500 0.000

Calculated values
Symmetry   No. 221
Crystal system   cubic
Formation energy from the elements   893 meV per atom
DOS(E_F)   1.42 states/eV per atom